No. 1
TeMo2 | GGA-PBE | relaxed

Lattice parameters (Å, degrees): 6.2352 6.2352 6.2352 90.00 90.00 90.00
Space group Fm-3m (No. 225)
Symmetry-distinct sites (fractional):
Te1 0.0000 0.0000 0.0000 [4 per cell]
Mo1 0.2500 0.2500 0.2500 [8 per cell]

Computed properties:
Formation energy from raw total energies: 21.9 kcal/mol of atoms
E above lowest polymorph: 907 meV per atom

***

No. 2
BeTlAg3 | GGA-PBE | relaxed

Lattice parameters (Å, degrees): 4.6276 4.6276 4.6276 90.00 90.00 90.00
Space group Pm-3m (No. 221)
Symmetry-distinct sites (fractional):
Be1 0.0000 0.0000 0.0000 [1 per cell]
Tl1 0.5000 0.5000 0.5000 [1 per cell]
Ag1 0.0000 0.0000 0.5000 [3 per cell]

Computed properties:
E above lowest polymorph: 0 meV per atom
Energy of formation: 1.60 eV/f.u.

***

No. 3
LiTc2Ni | GGA-PBE | relaxed

Lattice parameters (Å, degrees): 2.6142 2.6142 7.9412 90.00 90.00 90.00
Space group P4mm (No. 99)
Symmetry-distinct sites (fractional):
Li1 0.0000 0.0000 0.0000 [1 per cell]
Tc1 0.0000 0.0000 0.4551 [1 per cell]
Tc2 0.5000 0.5000 0.7221 [1 per cell]
Ni1 0.5000 0.5000 0.2352 [1 per cell]

Computed properties:
E above lowest polymorph: 79 meV per atom
Energy of formation: 0.76 eV/f.u.

***

No. 4
GePtSeBr2 | GGA-PBE | relaxed

Lattice parameters (Å, degrees): 5.0857 5.0857 5.0608 90.00 90.00 90.00
Space group P4/mmm (No. 123)
Symmetry-distinct sites (fractional):
Ge1 0.0000 0.0000 0.0000 [1 per cell]
Pt1 0.5000 0.5000 0.5000 [1 per cell]
Se1 0.5000 0.5000 0.0000 [1 per cell]
Br1 0.0000 0.5000 0.5000 [2 per cell]

Computed properties:
Formation energy from raw total energies: 6.2 kcal/mol of atoms
E above lowest polymorph: 0 meV per atom

***

No. 5
ErCu2Br6 | GGA-PBE | relaxed

Lattice parameters (Å, degrees): 15.1632 12.8473 7.0212 90.00 113.02 90.00
Space group C2/c (No. 15)
Symmetry-distinct sites (fractional):
Er1 0.0000 0.0861 0.2500 [4 per cell]
Cu1 0.0670 0.4091 0.1590 [8 per cell]
Br1 0.1108 0.4321 0.5378 [8 per cell]
Br2 0.1158 0.0650 0.6681 [8 per cell]
Br3 0.1156 0.2319 0.1647 [8 per cell]

Computed properties:
Formation energy from raw total energies: -22.5 kcal/mol of atoms
E above lowest polymorph: 0 meV per atom

***

No. 6
RbTi3B | GGA-PBE | relaxed

Lattice parameters (Å, degrees): 4.5890 4.5890 4.5890 90.00 90.00 90.00
Space group Pm-3m (No. 221)
Symmetry-distinct sites (fractional):
Rb1 0.0000 0.0000 0.0000 [1 per cell]
Ti1 0.0000 0.5000 0.5000 [3 per cell]
B1 0.5000 0.5000 0.5000 [1 per cell]

Computed properties:
E above lowest polymorph: 0 meV per atom
Energy of formation: 4.06 eV/f.u.

***

No. 7
BeFeCu2S | GGA-PBE | relaxed

Lattice parameters (Å, degrees): 4.1514 4.1514 4.0370 90.00 90.00 90.00
Space group P4/mmm (No. 123)
Symmetry-distinct sites (fractional):
Be1 0.0000 0.0000 0.0000 [1 per cell]
Fe1 0.5000 0.5000 0.5000 [1 per cell]
Cu1 0.0000 0.5000 0.0000 [2 per cell]
S1 0.0000 0.0000 0.5000 [1 per cell]

Computed properties:
Formation energy from raw total energies: 15.5 kcal/mol of atoms

***

No. 8
TiFeSiTe2 | GGA-PBE | relaxed

Lattice parameters (Å, degrees): 5.1873 5.1873 4.6480 90.00 90.00 90.00
Space group P4/mmm (No. 123)
Symmetry-distinct sites (fractional):
Ti1 0.0000 0.0000 0.0000 [1 per cell]
Fe1 0.5000 0.5000 0.0000 [1 per cell]
Si1 0.0000 0.0000 0.5000 [1 per cell]
Te1 0.0000 0.5000 0.5000 [2 per cell]

Computed properties:
Formation energy from raw total energies: 28.2 kcal/mol of atoms

***

What did we get for DOS at the Fermi energy? Answer: 20.40, 1.67, 5.50, 2.53, 27.59, 9.66, 4.27, 9.22 states/eV per cell, in the order shown.
What did we get for final energy? Answer: -87.832, -13.049, -27.672, -16.153, -126.321, -27.266, -21.140, -21.940 eV per cell, in the order shown.